[1]
A plane-wave DFT calculation with GGA-PBE was carried out for a relaxed Sm2Ho6Tm crystal.

symmetry: R3m (160)
E: -37.90 eV per cell
Fermi-level density of states: 13.254 states/eV per cell
calculated density: 7.67 g/cm³

abc: 6.9749 6.9749 8.5135
angles: 65.82 65.82 60.00
Fractional positions:
Ho: 0.5648 0.0537 0.3278
Ho: 0.7707 0.2792 0.6709
Ho: 0.0537 0.5648 0.3278
Ho: 0.2792 0.7707 0.6709
Ho: 0.0537 0.0537 0.3278
Ho: 0.2792 0.2792 0.6709
Sm: 0.7476 0.7476 0.7571
Sm: 0.5832 0.5832 0.2504
Tm: 0.3336 0.3336 0.9993



[2]
A plane-wave DFT calculation with GGA-PBE was carried out for a relaxed Mn3HOs crystal.

symmetry: P-1 (2)
E: -83.95 eV per cell
Fermi-level density of states: 9.617 states/eV per cell
calculated density: 12.09 g/cm³

abc: 4.1494 5.2126 4.5224
angles: 90.54 90.28 90.35
Fractional positions:
H: 0.8771 0.1436 0.3457
H: 0.8612 0.4253 0.7924
Mn: 0.1310 0.8908 0.4875
Mn: 0.6069 0.1491 0.6494
Mn: 0.1294 0.6678 0.9813
Mn: 0.6089 0.9010 0.1567
Mn: 0.1314 0.4197 0.4886
Mn: 0.6073 0.6781 0.6504
Os: 0.1276 0.1432 0.9765
Os: 0.6107 0.4255 0.1615



[3]
A plane-wave DFT calculation with GGA-PBE was carried out for a relaxed LiInPb crystal.

symmetry: I4/mmm (139)
E: -17.39 eV per cell
Fermi-level density of states: 3.001 states/eV per cell
calculated density: 7.35 g/cm³

abc: 3.3503 3.3503 13.4474
angles: 97.16 97.16 90.00
Fractional positions:
Li: 0.1230 0.1230 0.2459
Li: 0.8770 0.8770 0.7541
In: 0.4455 0.4455 0.8909
In: 0.5545 0.5545 0.1091
Pb: 0.6994 0.6994 0.3989
Pb: 0.3006 0.3006 0.6011



[4]
A plane-wave DFT calculation with GGA-PBE was carried out for a relaxed K3Mg2Tl7 crystal.

symmetry: R-3m (166)
E: -23.97 eV per cell
Fermi-level density of states: 4.362 states/eV per cell
calculated density: 6.74 g/cm³

abc: 6.6981 6.6981 10.8406
angles: 72.00 72.00 60.00
Fractional positions:
K: 0.1419 0.1419 0.5744
K: 0.8581 0.8581 0.4256
K: 0.0000 0.0000 0.0000
Tl: 0.4173 0.9257 0.2396
Tl: 0.4173 0.4173 0.2396
Tl: 0.5827 0.5827 0.7604
Tl: 0.0743 0.5827 0.7604
Tl: 0.5000 0.5000 0.5000
Tl: 0.9257 0.4173 0.2396
Tl: 0.5827 0.0743 0.7604
Mg: 0.3347 0.3347 0.9960
Mg: 0.6653 0.6653 0.0040



[5]
A plane-wave DFT calculation with GGA-PBE was carried out for a relaxed Sc8FeOs2 crystal.

symmetry: C2/m (12)
E: -83.32 eV per cell
Fermi-level density of states: 7.964 states/eV per cell
calculated density: 5.78 g/cm³

abc: 5.2834 7.1122 7.1122
angles: 113.36 101.45 101.45
Fractional positions:
Sc: 0.6092 0.3387 0.0833
Sc: 0.0000 0.8001 0.2059
Sc: 0.0000 0.2059 0.8001
Sc: 0.3907 0.9228 0.6673
Sc: 0.1944 0.3586 0.3586
Sc: 0.6092 0.0833 0.3387
Sc: 0.3907 0.6673 0.9228
Sc: 0.8056 0.6478 0.6478
Os: 0.5001 0.6934 0.3128
Os: 0.5001 0.3128 0.6934
Fe: 0.9997 0.0032 0.0032



[6]
A plane-wave DFT calculation with GGA-PBE was carried out for a relaxed TmHfPa crystal.

symmetry: P3m1 (156)
E: -23.49 eV per cell
Fermi-level density of states: 4.667 states/eV per cell
calculated density: 12.59 g/cm³

abc: 3.2905 3.2905 8.1348
angles: 90.00 90.00 120.00
Fractional positions:
Tm: 0.0000 0.0000 0.0006
Pa: 0.3333 0.6667 0.6582
Hf: 0.6667 0.3333 0.3412



[7]
A plane-wave DFT calculation with GGA-PBE was carried out for a relaxed AcCe2CrN4 crystal.

symmetry: Cmcm (63)
E: -136.22 eV per cell
Fermi-level density of states: 12.647 states/eV per cell
calculated density: 8.05 g/cm³
formation energy without anion corrections: -1151 meV per atom

abc: 3.5283 6.2719 11.9576
angles: 90.00 90.00 106.34
Fractional positions:
Cr: 0.1702 0.3404 0.2500
Cr: 0.8298 0.6596 0.7500
Ce: 0.3675 0.7351 0.5474
Ce: 0.3675 0.7351 0.9526
Ce: 0.6325 0.2649 0.4526
Ce: 0.6325 0.2649 0.0474
N: 0.2614 0.5228 0.3751
N: 0.2614 0.5228 0.1249
N: 0.7386 0.4772 0.6249
N: 0.0000 0.0000 0.5000
N: 0.5838 0.1676 0.2500
N: 0.0000 0.0000 0.0000
N: 0.4162 0.8324 0.7500
N: 0.7386 0.4772 0.8751
Ac: 0.0918 0.1836 0.7500
Ac: 0.9082 0.8164 0.2500



[8]
A plane-wave DFT calculation with GGA-PBE was carried out for a relaxed CoSnN2 crystal.

symmetry: R-3m (166)
E: -25.55 eV per cell
Fermi-level density of states: 2.690 states/eV per cell
calculated density: 6.21 g/cm³
formation energy without anion corrections: 552 meV per atom

abc: 6.1739 6.1739 6.1739
angles: 30.89 30.89 30.89
Fractional positions:
Co: 0.0000 0.0000 0.0000
N: 0.1027 0.1027 0.1027
N: 0.8973 0.8973 0.8973
Sn: 0.5000 0.5000 0.5000



[9]
A plane-wave DFT calculation with GGA-PBE was carried out for a relaxed NbPtNF2 crystal.

symmetry: P4/mmm (123)
E: -26.55 eV per cell
Fermi-level density of states: 6.697 states/eV per cell
calculated density: 7.39 g/cm³
formation energy without anion corrections: 327 meV per atom

abc: 4.5186 4.5186 3.7406
angles: 90.00 90.00 90.00
Fractional positions:
Nb: 0.5000 0.5000 0.5000
F: 0.5000 0.0000 0.0000
F: 0.0000 0.5000 0.0000
N: 0.0000 0.0000 0.5000
Pt: 0.0000 0.0000 0.0000



[10]
A plane-wave DFT calculation with GGA-PBE was carried out for a relaxed KTcPt2 crystal.

symmetry: Imm2 (44)
E: -21.83 eV per cell
Fermi-level density of states: 3.978 states/eV per cell
calculated density: 11.73 g/cm³

abc: 6.1324 6.1324 6.1324
angles: 154.21 131.59 55.65
Fractional positions:
Pt: 0.7426 0.2426 0.5000
Pt: 0.9711 0.9711 0.0000
K: 0.2499 0.7499 0.5000
Tc: 0.5364 0.5364 0.0000



[11]
A plane-wave DFT calculation with GGA-PBE was carried out for a relaxed DyPaBr crystal.

symmetry: P-1 (2)
E: -34.13 eV per cell
Fermi-level density of states: 7.024 states/eV per cell
calculated density: 9.32 g/cm³
formation energy without anion corrections: -432 meV per atom

abc: 3.5263 6.4126 7.8392
angles: 76.71 80.64 95.18
Fractional positions:
Br: 0.7464 0.7646 0.9555
Br: 0.2536 0.2354 0.0445
Dy: 0.6036 0.9209 0.3066
Dy: 0.3964 0.0791 0.6934
Pa: 0.8662 0.5805 0.6283
Pa: 0.1338 0.4195 0.3717



[12]
A plane-wave DFT calculation with GGA-PBE was carried out for a relaxed BaLa2Ni crystal.

symmetry: Cmmm (65)
E: -16.00 eV per cell
Fermi-level density of states: 6.353 states/eV per cell
calculated density: 6.31 g/cm³

abc: 5.2215 5.2215 4.5732
angles: 90.00 90.00 90.28
Fractional positions:
La: 0.5000 0.5000 0.0000
La: 0.0000 0.0000 0.0000
Ba: 0.0000 0.5000 0.5000
Ni: 0.5000 0.0000 0.5000



- Number 12 is which compound?
  BaLa2Ni



- Which value of calculated density does entry 12 give?
  6.31 g/cm³